[1]
Compound: Na4MgPd3O8
Source: the Alexandria database
Functional: PBE
Structure: relaxed

a = 6.326 Å, b = 6.326 Å, c = 6.536 Å
α = 119.90°, β = 119.90°, γ = 60.22°
Element x y z (fractional)
Na 0.000 0.000 0.000
Na 0.000 0.500 0.000
Na 0.500 0.000 0.000
Na 0.500 0.500 0.000
Mg 0.000 0.000 0.500
Pd 0.000 0.500 0.500
Pd 0.500 0.000 0.500
Pd 0.500 0.500 0.500
O 0.237 0.237 0.693
O 0.241 0.726 0.698
O 0.271 0.271 0.270
O 0.274 0.759 0.302
O 0.726 0.241 0.698
O 0.729 0.729 0.730
O 0.759 0.274 0.302
O 0.763 0.763 0.307

Computed properties:
M_tot: 2.0 μB/cell
Calculated density: 5.04 Mg/m³

---

[2]
Compound: RbTiS2
Source: the Alexandria database
Functional: PBE
Structure: relaxed

a = 8.612 Å, b = 8.612 Å, c = 8.612 Å
α = 27.38°, β = 27.38°, γ = 27.38°
Element x y z (fractional)
Rb 0.000 0.000 0.000
Ti 0.502 0.502 0.502
S 0.414 0.414 0.414
S 0.867 0.867 0.867

Computed properties:
M_tot: 1.0 μB/cell
Calculated density: 2.75 Mg/m³

---

[3]
Compound: Zn2SbMo
Source: the Alexandria database
Functional: PBE
Structure: relaxed

a = 9.066 Å, b = 9.066 Å, c = 9.066 Å
α = 19.71°, β = 19.71°, γ = 19.71°
Element x y z (fractional)
Zn 0.244 0.244 0.244
Zn 0.756 0.756 0.756
Sb 0.000 0.000 0.000
Mo 0.500 0.500 0.500

Computed properties:
M_tot: 0.0 μB/cell
Calculated density: 7.81 Mg/m³

---

[4]
Compound: K4Np3BeS8
Source: the Alexandria database
Functional: PBE
Structure: relaxed

a = 8.054 Å, b = 8.054 Å, c = 8.654 Å
α = 117.54°, β = 117.54°, γ = 58.68°
Element x y z (fractional)
K 0.000 0.000 0.000
K 0.000 0.500 0.000
K 0.500 0.000 0.000
K 0.500 0.500 0.000
Np 0.000 0.000 0.500
Np 0.000 0.500 0.500
Np 0.500 0.000 0.500
Be 0.500 0.500 0.500
S 0.232 0.232 0.702
S 0.254 0.254 0.289
S 0.261 0.704 0.678
S 0.296 0.739 0.322
S 0.704 0.261 0.678
S 0.739 0.296 0.322
S 0.746 0.746 0.711
S 0.768 0.768 0.298

Computed properties:
M_tot: 11.0 μB/cell
Calculated density: 4.63 Mg/m³

---

[5]
Compound: Rb2AsHF6
Source: the Alexandria database
Functional: PBE
Structure: relaxed

a = 6.376 Å, b = 6.376 Å, c = 6.376 Å
α = 129.30°, β = 129.30°, γ = 74.54°
Element x y z (fractional)
Rb 0.250 0.750 0.500
Rb 0.750 0.250 0.500
As 0.000 0.000 0.000
H 0.500 0.500 0.000
F 0.200 0.200 0.000
F 0.271 0.271 0.543
F 0.271 0.729 0.000
F 0.729 0.271 0.000
F 0.729 0.729 0.457
F 0.800 0.800 0.000

Computed properties:
M_tot: 0.0 μB/cell
Offset from the most stable computed form: 0.360 eV per atom
Calculated density: 3.96 Mg/m³

---

[6]
Compound: Li2ScCl
Source: the Alexandria database
Functional: PBE
Structure: relaxed

a = 3.230 Å, b = 7.438 Å, c = 7.438 Å
α = 26.42°, β = 90.00°, γ = 90.00°
Element x y z (fractional)
Li 0.000 0.000 0.000
Li 0.500 0.366 0.366
Sc 0.000 0.729 0.729
Cl 0.500 0.574 0.574

Computed properties:
M_tot: 0.8 μB/cell
Offset from the most stable computed form: 0.102 eV per atom
Calculated density: 1.97 Mg/m³

---

[7]
Compound: Ba6SrCa2
Source: the Alexandria database
Functional: PBE
Structure: relaxed

a = 4.289 Å, b = 4.289 Å, c = 32.429 Å
α = 90.00°, β = 90.00°, γ = 120.00°
Element x y z (fractional)
Ba 0.000 0.000 0.062
Ba 0.000 0.000 0.274
Ba 0.000 0.000 0.726
Ba 0.000 0.000 0.938
Ba 0.333 0.667 0.389
Ba 0.333 0.667 0.611
Sr 0.000 0.000 0.500
Ca 0.333 0.667 0.168
Ca 0.333 0.667 0.832

Computed properties:
M_tot: 0.0 μB/cell
Offset from the most stable computed form: 0.036 eV per atom
DFT formation energy: 6 kJ per mole of atoms
Calculated density: 3.19 Mg/m³

---

[8]
Compound: GdInRu
Source: the Alexandria database
Functional: PBE
Structure: relaxed

a = 4.654 Å, b = 4.654 Å, c = 3.579 Å
α = 90.00°, β = 90.00°, γ = 120.00°
Element x y z (fractional)
Gd 0.000 0.000 0.000
In 0.333 0.667 0.500
Ru 0.667 0.333 0.498

Computed properties:
M_tot: 7.0 μB/cell
DFT formation energy: -16 kJ per mole of atoms
Calculated density: 9.23 Mg/m³

---

[9]
Compound: GaHg2BiCl6
Source: the Alexandria database
Functional: PBE
Structure: relaxed

a = 7.348 Å, b = 7.348 Å, c = 7.348 Å
α = 119.96°, β = 119.96°, γ = 90.02°
Element x y z (fractional)
Ga 0.000 0.000 0.000
Hg 0.250 0.750 0.500
Hg 0.750 0.250 0.500
Bi 0.500 0.500 0.000
Cl 0.235 0.235 0.998
Cl 0.236 0.236 0.474
Cl 0.236 0.764 0.000
Cl 0.764 0.236 0.000
Cl 0.764 0.764 0.526
Cl 0.765 0.765 0.002

Computed properties:
M_tot: 0.0 μB/cell
Calculated density: 5.28 Mg/m³

---

[10]
Compound: Li4La2InGe3
Source: the Alexandria database
Functional: PBE
Structure: relaxed

a = 4.373 Å, b = 4.373 Å, c = 10.786 Å
α = 90.00°, β = 90.00°, γ = 90.00°
Element x y z (fractional)
Li 0.000 0.000 0.000
Li 0.000 0.500 0.358
Li 0.500 0.000 0.642
Li 0.500 0.500 0.000
La 0.000 0.500 0.770
La 0.500 0.000 0.230
In 0.500 0.500 0.500
Ge 0.000 0.000 0.500
Ge 0.000 0.500 0.129
Ge 0.500 0.000 0.871

Computed properties:
M_tot: 0.0 μB/cell
DFT formation energy: -48 kJ per mole of atoms
Calculated density: 5.14 Mg/m³

---

[11]
Compound: Y2CoPt
Source: the Alexandria database
Functional: PBE
Structure: relaxed

a = 6.074 Å, b = 6.074 Å, c = 6.074 Å
α = 105.23°, β = 105.23°, γ = 118.33°
Element x y z (fractional)
Y 0.104 0.625 0.979
Y 0.375 0.354 0.479
Y 0.646 0.125 0.021
Y 0.875 0.896 0.521
Co 0.000 0.000 0.000
Co 0.750 0.250 0.500
Pt 0.250 0.750 0.500
Pt 0.500 0.500 0.000

Computed properties:
M_tot: 0.0 μB/cell
DFT formation energy: -25 kJ per mole of atoms
Calculated density: 8.47 Mg/m³

---

[12]
Compound: AlCu2Ge
Source: the Alexandria database
Functional: PBE
Structure: relaxed

a = 2.943 Å, b = 2.943 Å, c = 8.087 Å
α = 90.77°, β = 90.77°, γ = 56.08°
Element x y z (fractional)
Al 0.000 0.000 0.000
Cu 0.341 0.341 0.755
Cu 0.659 0.659 0.245
Ge 0.000 0.000 0.500

Computed properties:
M_tot: 0.0 μB/cell
Offset from the most stable computed form: 0.026 eV per atom
DFT formation energy: 3 kJ per mole of atoms
Calculated density: 6.48 Mg/m³

---

[13]
Compound: NaZnIn4
Source: the Alexandria database
Functional: PBE
Structure: relaxed

a = 8.894 Å, b = 8.894 Å, c = 7.563 Å
α = 90.00°, β = 90.00°, γ = 149.31°
Element x y z (fractional)
Na 0.128 0.872 0.750
Na 0.872 0.128 0.250
Zn 0.226 0.774 0.250
Zn 0.774 0.226 0.750
In 0.061 0.939 0.250
In 0.321 0.679 0.546
In 0.321 0.679 0.954
In 0.500 0.500 0.000
In 0.500 0.500 0.500
In 0.679 0.321 0.046
In 0.679 0.321 0.454
In 0.939 0.061 0.750

Computed properties:
M_tot: 0.0 μB/cell
Offset from the most stable computed form: 0.000 eV per atom
DFT formation energy: -5 kJ per mole of atoms
Calculated density: 5.96 Mg/m³

---

[14]
Compound: MnAlV5
Source: the Alexandria database
Functional: PBE
Structure: relaxed

a = 5.089 Å, b = 5.089 Å, c = 8.882 Å
α = 106.27°, β = 106.27°, γ = 66.42°
Element x y z (fractional)
Mn 0.000 0.000 0.000
Mn 0.000 0.000 0.500
Al 0.383 0.617 0.750
Al 0.617 0.383 0.250
V 0.098 0.441 0.282
V 0.098 0.902 0.250
V 0.240 0.468 0.992
V 0.441 0.098 0.782
V 0.468 0.240 0.492
V 0.532 0.760 0.508
V 0.559 0.902 0.218
V 0.760 0.532 0.008
V 0.902 0.098 0.750
V 0.902 0.559 0.718

Computed properties:
M_tot: 1.4 μB/cell
DFT formation energy: 27 kJ per mole of atoms
Calculated density: 5.63 Mg/m³

---

[15]
Compound: GdErTlBi
Source: the Alexandria database
Functional: PBE
Structure: relaxed

a = 5.448 Å, b = 5.448 Å, c = 5.448 Å
α = 60.00°, β = 60.00°, γ = 60.00°
Element x y z (fractional)
Gd 0.000 0.000 0.000
Er 0.500 0.500 0.500
Tl 0.250 0.250 0.250
Bi 0.750 0.750 0.750

Computed properties:
M_tot: 7.4 μB/cell
DFT formation energy: -40 kJ per mole of atoms
Calculated density: 10.72 Mg/m³

---

[16]
Compound: Li3CaSi
Source: the Alexandria database
Functional: PBE
Structure: relaxed

a = 12.235 Å, b = 12.235 Å, c = 12.235 Å
α = 157.87°, β = 157.87°, γ = 31.50°
Element x y z (fractional)
Li 0.062 0.062 0.000
Li 0.138 0.377 0.761
Li 0.616 0.377 0.239
Li 0.623 0.384 0.761
Li 0.623 0.862 0.239
Li 0.938 0.938 0.000
Ca 0.500 0.500 0.000
Ca 0.750 0.250 0.500
Si 0.093 0.593 0.500
Si 0.407 0.907 0.500

Computed properties:
M_tot: 0.0 μB/cell
Offset from the most stable computed form: 0.198 eV per atom
Calculated density: 1.14 Mg/m³

---

[17]
Compound: TbNdSm2Dy6
Source: the Alexandria database
Functional: PBE
Structure: relaxed

a = 8.798 Å, b = 8.798 Å, c = 9.687 Å
α = 94.32°, β = 94.32°, γ = 117.97°
Element x y z (fractional)
Tb 0.092 0.908 0.750
Tb 0.908 0.092 0.250
Nd 0.480 0.520 0.250
Nd 0.520 0.480 0.750
Sm 0.202 0.305 0.957
Sm 0.305 0.202 0.457
Sm 0.695 0.798 0.543
Sm 0.798 0.695 0.043
Dy 0.007 0.794 0.380
Dy 0.071 0.521 0.185
Dy 0.206 0.993 0.120
Dy 0.243 0.623 0.557
Dy 0.377 0.757 0.943
Dy 0.479 0.929 0.315
Dy 0.521 0.071 0.685
Dy 0.623 0.243 0.057
Dy 0.757 0.377 0.443
Dy 0.794 0.007 0.880
Dy 0.929 0.479 0.815
Dy 0.993 0.206 0.620

Computed properties:
M_tot: 0.0 μB/cell
DFT formation energy: 11 kJ per mole of atoms
Calculated density: 8.00 Mg/m³

---

[18]
Compound: HoHg2Pb
Source: the Alexandria database
Functional: PBE
Structure: relaxed

a = 6.495 Å, b = 6.495 Å, c = 6.495 Å
α = 43.07°, β = 43.07°, γ = 43.07°
Element x y z (fractional)
Ho 0.000 0.000 0.000
Hg 0.401 0.401 0.401
Hg 0.582 0.582 0.582
Pb 0.812 0.812 0.812

Computed properties:
M_tot: 0.0 μB/cell
DFT formation energy: -17 kJ per mole of atoms
Calculated density: 11.09 Mg/m³

---

[19]
Compound: Ho6Tc2Pb
Source: the Alexandria database
Functional: PBE
Structure: relaxed

a = 8.541 Å, b = 8.541 Å, c = 8.541 Å
α = 111.97°, β = 111.81°, γ = 104.74°
Element x y z (fractional)
Ho 0.019 0.238 0.781
Ho 0.191 0.284 0.474
Ho 0.191 0.716 0.907
Ho 0.320 0.021 0.701
Ho 0.320 0.619 0.299
Ho 0.457 0.238 0.219
Ho 0.543 0.762 0.781
Ho 0.680 0.381 0.701
Ho 0.680 0.979 0.299
Ho 0.809 0.284 0.093
Ho 0.809 0.716 0.526
Ho 0.981 0.762 0.219
Tc 0.116 0.616 0.500
Tc 0.368 0.000 0.368
Tc 0.632 0.000 0.632
Tc 0.884 0.384 0.500
Pb 0.000 0.000 0.000
Pb 0.500 0.500 0.000

Computed properties:
M_tot: 0.0 μB/cell
DFT formation energy: -20 kJ per mole of atoms
Calculated density: 9.69 Mg/m³

---

[20]
Compound: Cr4CoC
Source: the Alexandria database
Functional: PBE
Structure: relaxed

a = 6.120 Å, b = 6.120 Å, c = 5.107 Å
α = 108.47°, β = 108.47°, γ = 117.01°
Element x y z (fractional)
Cr 0.044 0.620 0.775
Cr 0.209 0.295 0.720
Cr 0.295 0.209 0.220
Cr 0.380 0.956 0.725
Cr 0.620 0.044 0.275
Cr 0.705 0.791 0.780
Cr 0.791 0.705 0.280
Cr 0.956 0.380 0.225
Co 0.358 0.642 0.250
Co 0.642 0.358 0.750
C 0.055 0.945 0.750
C 0.945 0.055 0.250

Computed properties:
M_tot: 0.0 μB/cell
DFT formation energy: 31 kJ per mole of atoms
Calculated density: 6.84 Mg/m³

---

| no. | E_tot (eV/atom) |
| --- | --- |
| 1 | -5.043 |
| 2 | -5.268 |
| 3 | -3.967 |
| 4 | -6.195 |
| 5 | -4.107 |
| 6 | -3.562 |
| 7 | -1.854 |
| 8 | -8.867 |
| 9 | -2.456 |
| 10 | -3.912 |
| 11 | -6.782 |
| 12 | -4.105 |
| 13 | -2.310 |
| 14 | -8.082 |
| 15 | -6.638 |
| 16 | -2.507 |
| 17 | -4.527 |
| 18 | -2.397 |
| 19 | -5.980 |
| 20 | -8.811 |